No. 1
DFT (PBE) results for crystalline Cs2ThPbO4 at its relaxed geometry.

The structure belongs to space group P2/m (No. 10); the cell edges are 6.5952, 3.7828 and 7.3105 Å and the angles 90.00°, 107.97° and 90.00°. The distinct sites, in fractional coordinates, are Cs at (0.0000, 0.0000, 0.0000), Cs at (0.5000, 0.5000, 0.0000), Th at (0.0000, 0.5000, 0.5000), Pb at (0.5000, 0.0000, 0.5000), O at (0.1954, 0.0000, 0.6738) and O at (0.2341, 0.5000, 0.3251).

The value obtained for the electronic total energy is -49.47 eV for the cell shown. The value obtained for the energy relative to the elements, uncorrected is -16.8 eV/f.u.

No. 2
DFT (PBE) results for crystalline Cs2Ti2PbO6 at its relaxed geometry.

The structure belongs to space group R-3m (No. 166, hexagonal axes); the cell edges are 6.4850, 6.4850 and 20.2284 Å and the angles 90.00°, 90.00° and 120.00°. The distinct sites, in fractional coordinates, are Cs at (0.0000, 0.0000, 0.1974), Ti at (0.0000, 0.0000, 0.3962), Pb at (0.0000, 0.0000, 0.0000) and O at (0.0223, 0.5112, 0.2556).

The value obtained for the electronic total energy is -218.87 eV for the cell shown. The value obtained for the energy relative to the elements, uncorrected is -22.0 eV/f.u.

No. 3
DFT (PBE) results for crystalline Cs2TlPbO4 at its relaxed geometry.

The structure belongs to space group Pmn2_1 (No. 31); the cell edges are 7.8653, 7.9822 and 6.4905 Å and the angles 90.00°, 90.00° and 90.00°. The distinct sites, in fractional coordinates, are Cs at (0.2496, 0.1695, 0.0000), Tl at (0.0000, 0.3564, 0.4866), Pb at (0.0000, 0.6437, 0.9866), O at (0.0000, 0.4078, 0.1470), O at (0.0000, 0.5946, 0.6586) and O at (0.2486, 0.7762, 0.0303).

The value obtained for the electronic total energy is -71.32 eV for the cell shown. The value obtained for the energy relative to the elements, uncorrected is -8.0 eV/f.u.

No. 4
DFT (PBE) results for crystalline Cs3TmPb2O6 at its relaxed geometry.

The structure belongs to space group P-3m1 (No. 164); the cell edges are 6.5238, 6.5238 and 7.8367 Å and the angles 90.00°, 90.00° and 120.00°. The distinct sites, in fractional coordinates, are Cs at (0.0000, 0.0000, 0.0000), Cs at (0.3333, 0.6667, 0.6726), Tm at (0.0000, 0.0000, 0.5000), Pb at (0.3333, 0.6667, 0.2235) and O at (0.1618, 0.3237, 0.3336).

The value obtained for the electronic total energy is -62.74 eV for the cell shown. The value obtained for the energy relative to the elements, uncorrected is -18.5 eV/f.u.

No. 5
DFT (PBE) results for crystalline CsU2PbO7 at its relaxed geometry.

The structure belongs to space group P4/mmm (No. 123); the cell edges are 4.3320, 4.3320 and 11.2690 Å and the angles 90.00°, 90.00° and 90.00°. The distinct sites, in fractional coordinates, are Cs at (0.0000, 0.0000, 0.0000), U at (0.5000, 0.5000, 0.3096), Pb at (0.0000, 0.0000, 0.5000), O at (0.0000, 0.5000, 0.3352), O at (0.5000, 0.5000, 0.1402) and O at (0.5000, 0.5000, 0.5000).

The value obtained for the electronic total energy is -90.83 eV for the cell shown. The value obtained for the energy relative to the elements, uncorrected is -29.0 eV/f.u.

No. 6
DFT (PBE) results for crystalline CsUPbO6 at its relaxed geometry.

The structure belongs to space group Imma (No. 74); the cell edges are 7.6336, 8.1551 and 11.4361 Å and the angles 90.00°, 90.00° and 90.00°. The distinct sites, in fractional coordinates, are Cs at (0.0000, 0.2500, 0.1056), U at (0.0000, 0.0000, 0.5000), Pb at (0.2500, 0.2500, 0.7500), O at (0.0000, 0.2500, 0.4448), O at (0.0000, 0.2500, 0.8329) and O at (0.1860, 0.0558, 0.6187).

The value obtained for the electronic total energy is -250.96 eV for the cell shown. The value obtained for the energy relative to the elements, uncorrected is -17.1 eV/f.u.